Model one:
# Be2MoIr

Be2MoIr after structural relaxation (GGA-PBEsol, the Alexandria database).

Geometry as extended XYZ:
```
4
Lattice="3.8592 -1.3580 0.0000 3.8592 1.3580 0.0000 -1.0161 0.0000 4.5868" Properties=species:S:1:pos:R:3 pbc="T T T"
Be 1.6553 0.0000 0.9593
Be 5.0470 0.0000 3.6275
Mo -0.5080 0.0000 2.2934
Ir 3.8592 0.0000 0.0000
```

Properties
Magnetization ... 0.00 μB/cell

Model two:
# Be2MoIr

Be2MoIr after structural relaxation (GGA-PBEsol, the Alexandria database).

Geometry as extended XYZ:
```
4
Lattice="-1.8123 1.8123 3.6089 1.8123 -1.8123 3.6089 1.8123 1.8123 -3.6089" Properties=species:S:1:pos:R:3 pbc="T T T"
Be 0.0000 0.0000 0.0000
Be 0.0000 1.8123 1.8045
Mo 1.8123 0.0000 1.8045
Ir 0.0000 0.0000 3.6089
```

Properties
Magnetization ... 0.00 μB/cell

Most stable structure among those shown: model two. Next: +8.5 kJ/mol of atoms.